Entry 1:
The following is a DFT calculation (GGA-PBEsol) of a relaxed structure of TcPt2Au.

Results
- SG = F-43m
- ΔH_f (0 K) (meV per atom) = 280
- size of the total moment (μB/atom) = 0.00
- crystal system = cubic
- relative energy among the computed polymorphs (meV per atom) = 407

Cell: 4.424 4.424 4.424 Å, 60.00 60.00 60.00°
Atoms (fractional coordinates):
Au1 0.500 0.500 0.500
Pt1 0.000 0.000 0.000
Pt2 0.250 0.250 0.250
Tc1 0.750 0.750 0.750

Entry 2:
The following is a DFT calculation (GGA-PBEsol) of a relaxed structure of TcPtAu2.

Results
- SG = Pmm2
- ΔH_f (0 K) (meV per atom) = 132
- size of the total moment (μB/atom) = 0.00
- crystal system = orthorhombic
- relative energy among the computed polymorphs (meV per atom) = 0

Cell: 2.772 3.810 5.964 Å, 90.00 90.00 90.00°
Atoms (fractional coordinates):
Au1 0.000 0.000 0.993
Au2 0.500 0.500 0.254
Pt1 0.000 0.000 0.527
Tc1 0.500 0.500 0.727

Entry 3:
The following is a DFT calculation (GGA-PBEsol) of a relaxed structure of TcPtAu.

Results
- SG = F-43m
- ΔH_f (0 K) (meV per atom) = 698
- size of the total moment (μB/atom) = 0.00
- crystal system = cubic

Cell: 4.252 4.252 4.252 Å, 60.00 60.00 60.00°
Atoms (fractional coordinates):
Au1 0.000 0.000 0.000
Pt1 0.500 0.500 0.500
Tc1 0.250 0.250 0.250

Entry 4:
The following is a DFT calculation (GGA-PBEsol) of a relaxed structure of TcPtAu2.

Results
- SG = Fm-3m
- ΔH_f (0 K) (meV per atom) = 383
- size of the total moment (μB/atom) = 0.35
- crystal system = cubic
- relative energy among the computed polymorphs (meV per atom) = 251

Cell: 4.467 4.467 4.467 Å, 60.00 60.00 60.00°
Last column: magnetic moment on the atom in μB.
Atoms (fractional coordinates):
Au1 0.250 0.250 0.250  0.03
Au2 0.750 0.750 0.750  0.03
Pt1 0.000 0.000 0.000  0.05
Tc1 0.500 0.500 0.500  1.23

Entry 5:
The following is a DFT calculation (GGA-PBEsol) of a relaxed structure of TcPt2Au.

Results
- SG = I-4m2
- ΔH_f (0 K) (meV per atom) = 112
- size of the total moment (μB/atom) = 0.00
- crystal system = tetragonal
- relative energy among the computed polymorphs (meV per atom) = 239

Cell: 3.917 3.917 4.800 Å, 114.08 114.08 90.00°
Atoms (fractional coordinates):
Au1 0.250 0.750 0.500
Pt1 0.000 0.000 0.000
Pt2 0.750 0.250 0.500
Tc1 0.500 0.500 0.000

Entry 6:
The following is a DFT calculation (GGA-PBEsol) of a relaxed structure of Tc2PtAu.

Results
- SG = I-4m2
- ΔH_f (0 K) (meV per atom) = 108
- size of the total moment (μB/atom) = 0.00
- crystal system = tetragonal

Cell: 3.902 3.902 4.755 Å, 114.22 114.22 90.00°
Atoms (fractional coordinates):
Au1 0.500 0.500 0.000
Pt1 0.250 0.750 0.500
Tc1 0.000 0.000 0.000
Tc2 0.750 0.250 0.500